[1]
! PBE-GGA PrPbO3, relaxed; values from VASP
&SYSTEM
  ibrav = 0, nat = 10, ntyp = 3
/
ATOMIC_SPECIES
Pr 140.91 Pr.upf
Pb 207.20 Pb.upf
O 16.00 O.upf
ATOMIC_POSITIONS angstrom
Pr 1.958 4.423 4.606
Pr 1.958 -4.423 1.535
Pb 1.958 0.834 4.606
Pb 1.958 -0.834 1.535
O 1.958 6.897 4.606
O 1.958 2.457 3.078
O 1.958 2.457 6.133
O 1.958 -2.457 0.007
O 1.958 -2.457 3.063
O 1.958 -6.897 1.535
CELL_PARAMETERS angstrom
1.958 -7.107 0.000
1.958 7.107 0.000
0.000 0.000 6.141
! Formation energy from raw total energies (kJ/mol of formula units): -1011
! Fermi-level density of states (states/eV/f.u.): 0.853
! Magnetic moment (μB per cell): 0.00

[2]
! PBE-GGA Pr4Pb2O, relaxed; values from VASP
&SYSTEM
  ibrav = 0, nat = 14, ntyp = 3
/
ATOMIC_SPECIES
Pr 140.91 Pr.upf
Pb 207.20 Pb.upf
O 16.00 O.upf
ATOMIC_POSITIONS angstrom
Pr 1.179 1.748 0.402
Pr -0.750 3.526 6.403
Pr -0.750 6.960 6.403
Pr 0.708 5.243 3.079
Pr 2.660 1.748 6.026
Pr 4.118 0.031 2.702
Pr 4.118 3.465 2.702
Pr 2.189 5.243 8.703
Pb 0.325 1.748 3.633
Pb 2.151 5.243 0.241
Pb 1.217 1.748 8.864
Pb 3.043 5.243 5.472
O -2.010 1.748 7.172
O 5.378 5.243 1.933
CELL_PARAMETERS angstrom
6.704 0.000 0.000
0.000 6.991 0.000
-3.336 0.000 9.105
! Formation energy from raw total energies (kJ/mol of formula units): -769
! Energy above the most stable polymorph in this dataset (eV per atom): 0.004
! Fermi-level density of states (states/eV/f.u.): 6.216
! Magnetic moment (μB per cell): 0.00

[3]
! PBE-GGA Pr3Pb2O, relaxed; values from VASP
&SYSTEM
  ibrav = 0, nat = 12, ntyp = 3
/
ATOMIC_SPECIES
Pr 140.91 Pr.upf
Pb 207.20 Pb.upf
O 16.00 O.upf
ATOMIC_POSITIONS angstrom
Pr 5.489 3.068 5.165
Pr 3.741 0.000 0.000
Pr 3.741 0.000 3.443
Pr 7.237 0.000 0.000
Pr 7.237 0.000 3.443
Pr 5.489 -3.068 1.722
Pb 3.938 2.832 1.722
Pb 7.040 2.832 1.722
Pb 3.938 -2.832 5.165
Pb 7.040 -2.832 5.165
O 5.489 0.706 5.165
O 5.489 -0.706 1.722
CELL_PARAMETERS angstrom
5.489 -4.518 0.000
5.489 4.518 0.000
0.000 0.000 6.886
! Formation energy from raw total energies (kJ/mol of formula units): -690
! Fermi-level density of states (states/eV/f.u.): 2.762
! Magnetic moment (μB per cell): 0.00

[4]
! PBE-GGA Pr3PbO2, relaxed; values from VASP
&SYSTEM
  ibrav = 0, nat = 12, ntyp = 3
/
ATOMIC_SPECIES
Pr 140.91 Pr.upf
Pb 207.20 Pb.upf
O 16.00 O.upf
ATOMIC_POSITIONS angstrom
Pr 0.000 1.133 0.000
Pr 0.000 10.337 3.268
Pr 1.800 1.883 3.298
Pr 1.800 4.470 5.475
Pr 1.800 7.000 2.207
Pr 1.800 9.587 0.031
Pb 0.000 4.175 1.751
Pb 0.000 7.295 5.018
O 0.000 2.828 4.884
O 0.000 8.642 1.616
O 1.800 0.034 1.646
O 1.800 11.436 4.914
CELL_PARAMETERS angstrom
3.599 0.000 0.000
0.000 11.470 0.000
0.000 0.000 6.536
! Formation energy from raw total energies (kJ/mol of formula units): -1085
! Energy above the most stable polymorph in this dataset (eV per atom): 0.182
! Fermi-level density of states (states/eV/f.u.): 2.727
! Magnetic moment (μB per cell): 0.00

[5]
! PBE-GGA Pr6Pb3O, relaxed; values from VASP
&SYSTEM
  ibrav = 0, nat = 20, ntyp = 3
/
ATOMIC_SPECIES
Pr 140.91 Pr.upf
Pb 207.20 Pb.upf
O 16.00 O.upf
ATOMIC_POSITIONS angstrom
Pr 6.183 6.863 3.657
Pr 4.251 3.668 3.326
Pr 6.183 4.147 6.696
Pr 4.141 0.473 6.813
Pr 4.141 -0.473 3.156
Pr 8.115 3.668 3.326
Pr 4.251 -3.668 6.984
Pr 8.226 0.473 6.813
Pr 8.226 -0.473 3.156
Pr 6.183 -4.147 3.038
Pr 8.115 -3.668 6.984
Pr 6.183 -6.863 0.000
Pb 2.058 1.647 4.699
Pb 2.058 -1.647 1.041
Pb 6.183 1.714 1.676
Pb 6.183 -1.714 5.334
Pb 10.308 1.647 4.699
Pb 10.308 -1.647 1.041
O 6.183 4.597 4.376
O 6.183 -4.597 0.719
CELL_PARAMETERS angstrom
6.183 -7.706 0.000
6.183 7.706 0.000
0.000 0.000 7.315
! Formation energy from raw total energies (kJ/mol of formula units): -765
! Fermi-level density of states (states/eV/f.u.): 10.426
! Magnetic moment (μB per cell): 5.18

[6]
! PBE-GGA Pr3PbO6, relaxed; values from VASP
&SYSTEM
  ibrav = 0, nat = 20, ntyp = 3
/
ATOMIC_SPECIES
Pr 140.91 Pr.upf
Pb 207.20 Pb.upf
O 16.00 O.upf
ATOMIC_POSITIONS angstrom
Pr -3.572 -0.959 5.363
Pr -0.955 -3.573 6.276
Pr -2.616 2.613 6.276
Pr 2.616 -2.613 5.363
Pr 0.955 3.573 5.363
Pr 3.572 0.959 6.276
Pb 0.000 0.000 0.000
Pb 0.000 0.000 5.820
O -3.439 -3.239 6.359
O -4.524 1.359 5.280
O -1.407 -1.846 4.721
O 1.086 -4.597 5.280
O -2.303 0.295 6.918
O -0.895 2.142 4.721
O 0.895 -2.142 6.918
O 2.303 -0.295 4.721
O -1.086 4.597 6.359
O 1.407 1.846 6.918
O 4.524 -1.359 6.359
O 3.439 3.239 5.280
CELL_PARAMETERS angstrom
5.156 2.977 3.880
-5.156 2.977 3.880
0.000 -5.953 3.880
! Formation energy from raw total energies (kJ/mol of formula units): -2635
! Energy above the most stable polymorph in this dataset (eV per atom): 0.000
! Magnetic moment (μB per cell): 0.00

[7]
! PBE-GGA Pr3PbO6, relaxed; values from VASP
&SYSTEM
  ibrav = 0, nat = 20, ntyp = 3
/
ATOMIC_SPECIES
Pr 140.91 Pr.upf
Pb 207.20 Pb.upf
O 16.00 O.upf
ATOMIC_POSITIONS angstrom
Pr 4.732 4.726 2.974
Pr 2.850 1.285 2.648
Pr 2.850 -1.285 5.622
Pr 6.614 1.285 2.648
Pr 6.614 -1.285 5.622
Pr 4.732 -4.726 0.000
Pb 4.732 1.968 5.559
Pb 4.732 -1.968 2.585
O 3.212 3.087 4.380
O 1.519 0.181 4.306
O 1.519 -0.181 1.332
O 4.732 2.651 1.770
O 6.251 3.087 4.380
O 4.732 0.156 4.044
O 4.732 -0.156 1.070
O 3.212 -3.087 1.406
O 4.732 -2.651 4.744
O 7.944 0.181 4.306
O 7.944 -0.181 1.332
O 6.251 -3.087 1.406
CELL_PARAMETERS angstrom
4.732 -5.915 0.000
4.732 5.915 0.000
0.000 0.000 5.948
! Formation energy from raw total energies (kJ/mol of formula units): -2605
! Energy above the most stable polymorph in this dataset (eV per atom): 0.031
! Fermi-level density of states (states/eV/f.u.): 1.611
! Magnetic moment (μB per cell): 0.00

[8]
! PBE-GGA Pr5Pb2O12, relaxed; values from VASP
&SYSTEM
  ibrav = 0, nat = 19, ntyp = 3
/
ATOMIC_SPECIES
Pr 140.91 Pr.upf
Pb 207.20 Pb.upf
O 16.00 O.upf
ATOMIC_POSITIONS angstrom
Pr 0.000 0.000 0.000
Pr 3.645 0.000 1.033
Pr 2.453 0.000 4.930
Pr 8.379 0.000 2.505
Pr 7.187 0.000 6.402
Pb 5.416 1.623 3.718
Pb 5.416 -1.623 3.718
O -0.684 0.000 2.270
O 2.385 1.598 6.895
O 3.367 1.453 3.044
O 8.447 1.598 0.540
O 7.465 1.453 4.391
O 4.939 0.000 5.180
O 5.893 0.000 2.255
O 3.367 -1.453 3.044
O 2.385 -1.598 6.895
O 7.465 -1.453 4.391
O 8.447 -1.598 0.540
O 11.517 0.000 5.165
CELL_PARAMETERS angstrom
6.579 -3.178 0.000
6.579 3.178 0.000
-2.325 0.000 7.435
! Formation energy from raw total energies (kJ/mol of formula units): -4480
! Fermi-level density of states (states/eV/f.u.): 18.086
! Magnetic moment (μB per cell): 1.22

[9]
! PBE-GGA PrPtPb2O6, relaxed; values from VASP
&SYSTEM
  ibrav = 0, nat = 20, ntyp = 4
/
ATOMIC_SPECIES
Pr 140.91 Pr.upf
Pt 195.08 Pt.upf
Pb 207.20 Pb.upf
O 16.00 O.upf
ATOMIC_POSITIONS angstrom
Pr 0.000 0.000 0.000
Pr -2.873 3.109 4.238
Pt 0.008 0.000 4.238
Pt 2.881 3.109 0.000
Pb -2.916 0.282 6.212
Pb -0.043 2.827 1.973
Pb 0.060 3.391 6.504
Pb 2.933 5.936 2.265
O -1.679 1.076 3.982
O -4.552 2.033 8.220
O -1.065 4.581 3.734
O -3.937 4.746 7.973
O 0.550 0.294 2.312
O -2.323 2.815 6.550
O 2.340 3.403 1.927
O -0.533 5.924 6.165
O 3.954 1.472 0.504
O 1.081 1.637 4.743
O 4.568 4.185 0.257
O 1.696 5.142 4.495
CELL_PARAMETERS angstrom
5.762 0.000 0.000
0.000 6.218 0.000
-5.746 0.000 8.477
! Formation energy from raw total energies (kJ/mol of formula units): -1355
! Fermi-level density of states (states/eV/f.u.): 5.971
! Magnetic moment (μB per cell): 0.00

[10]
! PBE-GGA Pr2PtPbO5, relaxed; values from VASP
&SYSTEM
  ibrav = 0, nat = 18, ntyp = 4
/
ATOMIC_SPECIES
Pr 140.91 Pr.upf
Pt 195.08 Pt.upf
Pb 207.20 Pb.upf
O 16.00 O.upf
ATOMIC_POSITIONS angstrom
Pr 1.194 2.237 0.000
Pr 2.237 5.668 0.000
Pr 4.625 1.194 0.000
Pr 5.668 4.625 0.000
Pt 0.000 3.431 2.960
Pt 3.431 0.000 2.960
Pb 0.000 0.000 2.960
Pb 3.431 3.431 2.960
O 0.000 0.000 0.000
O 0.962 4.393 1.468
O 0.962 4.393 4.452
O 2.469 0.962 1.468
O 2.469 0.962 4.452
O 3.431 3.431 0.000
O 4.393 5.900 1.468
O 4.393 5.900 4.452
O 5.900 2.469 1.468
O 5.900 2.469 4.452
CELL_PARAMETERS angstrom
6.862 0.000 0.000
0.000 6.862 0.000
0.000 0.000 5.920
! Formation energy from raw total energies (kJ/mol of formula units): -1830
! Magnetic moment (μB per cell): 0.00

[11]
! PBE-GGA PrPuPbO6, relaxed; values from VASP
&SYSTEM
  ibrav = 0, nat = 18, ntyp = 4
/
ATOMIC_SPECIES
Pr 140.91 Pr.upf
Pu 244.00 Pu.upf
Pb 207.20 Pb.upf
O 16.00 O.upf
ATOMIC_POSITIONS angstrom
Pr 0.000 3.481 2.454
Pr 3.015 1.740 7.361
Pu 0.000 3.481 7.361
Pu 3.015 1.740 2.454
Pb 0.000 0.000 0.000
Pb 0.000 0.000 4.907
O -0.890 2.028 6.273
O -1.704 3.437 8.449
O 0.890 2.028 8.449
O -0.814 4.978 6.273
O 2.201 0.243 1.365
O 1.311 1.784 3.542
O 1.704 3.437 6.273
O 0.814 4.978 8.449
O 3.828 0.243 3.542
O 2.125 3.194 1.365
O 4.718 1.784 1.365
O 3.904 3.194 3.542
CELL_PARAMETERS angstrom
6.029 0.000 0.000
-3.015 5.221 0.000
0.000 0.000 9.815
! Formation energy from raw total energies (kJ/mol of formula units): -2032
! Magnetic moment (μB per cell): 1.99

[12]
! PBE-GGA Rb3Pr3PbO8, relaxed; values from VASP
&SYSTEM
  ibrav = 0, nat = 15, ntyp = 4
/
ATOMIC_SPECIES
Rb 85.47 Rb.upf
Pr 140.91 Pr.upf
Pb 207.20 Pb.upf
O 16.00 O.upf
ATOMIC_POSITIONS angstrom
Rb -1.819 -1.050 6.673
Rb -1.819 1.050 13.347
Rb 0.000 2.101 6.673
Pr -3.638 0.000 10.010
Pr -1.819 1.050 3.337
Pr 1.819 1.050 3.337
Pb 0.000 0.000 10.010
O 0.000 0.000 4.504
O -1.705 -0.984 11.173
O 0.000 -1.968 8.847
O -1.705 0.984 8.847
O 1.705 -0.984 11.173
O 0.000 1.968 11.173
O 1.705 0.984 8.847
O 0.000 0.000 15.516
CELL_PARAMETERS angstrom
3.638 2.101 6.673
-3.638 2.101 6.673
0.000 -4.201 6.673
! Formation energy from raw total energies (kJ/mol of formula units): -3198
! Magnetic moment (μB per cell): 0.00